A) DFT (PBE) results for SrP3Cl after structural relaxation.

Its space group is Pm-3m (221).

```
SrP3Cl
1.0
5.746 0.000 0.000
0.000 5.746 0.000
0.000 0.000 5.746
Sr P Cl
1 3 1
Direct
0.000 0.000 0.000
0.000 0.000 0.500
0.000 0.500 0.000
0.500 0.000 0.000
0.500 0.500 0.500
```

B) DFT (PBE) results for SrP3Cl after structural relaxation.

Its space group is Pm-3m (221).

```
SrP3Cl
1.0
4.813 0.000 0.000
0.000 4.813 0.000
0.000 0.000 4.813
Sr P Cl
1 3 1
Direct
0.000 0.000 0.000
0.000 0.500 0.500
0.500 0.000 0.500
0.500 0.500 0.000
0.500 0.500 0.500
```

Of them, B) has the highest stability.

A) DFT (PBE) results for SrTcPCl2 after structural relaxation.

Its space group is P4/mmm (123).

```
SrTcPCl2
1.0
5.000 0.000 0.000
0.000 5.000 0.000
0.000 0.000 4.602
Sr Tc P Cl
1 1 1 2
Direct
0.000 0.000 0.000
0.500 0.500 0.500
0.500 0.500 0.000
0.000 0.500 0.500
0.500 0.000 0.500
```

B) DFT (PBE) results for SrTcPCl2 after structural relaxation.

Its space group is P4/mmm (123).

```
SrTcPCl2
1.0
5.351 0.000 0.000
0.000 5.351 0.000
0.000 0.000 6.192
Sr Tc P Cl
1 1 1 2
Direct
0.000 0.000 0.000
0.500 0.500 0.500
0.000 0.000 0.500
0.000 0.500 0.000
0.500 0.000 0.000
```

Of them, A) has the highest stability.

A) DFT (PBE) results for SrTiP2Cl after structural relaxation.

Its space group is P4/mmm (123).

```
SrTiP2Cl
1.0
4.743 0.000 0.000
0.000 4.743 0.000
0.000 0.000 5.058
Sr Ti P Cl
1 1 2 1
Direct
0.000 0.000 0.000
0.500 0.500 0.500
0.000 0.500 0.500
0.500 0.000 0.500
0.500 0.500 0.000
```

B) DFT (PBE) results for SrTiP2Cl after structural relaxation.

Its space group is P4/mmm (123).

```
SrTiP2Cl
1.0
5.426 0.000 0.000
0.000 5.426 0.000
0.000 0.000 5.235
Sr Ti P Cl
1 1 2 1
Direct
0.000 0.000 0.000
0.500 0.500 0.500
0.000 0.500 0.000
0.500 0.000 0.000
0.000 0.000 0.500
```

Of them, A) has the highest stability.

A) DFT (PBE) results for SrTiPCl2 after structural relaxation.

Its space group is P4/mmm (123).

```
SrTiPCl2
1.0
5.320 0.000 0.000
0.000 5.320 0.000
0.000 0.000 6.078
Sr Ti P Cl
1 1 1 2
Direct
0.000 0.000 0.000
0.500 0.500 0.500
0.000 0.000 0.500
0.000 0.500 0.000
0.500 0.000 0.000
```

B) DFT (PBE) results for SrTiPCl2 after structural relaxation.

Its space group is P4/mmm (123).

```
SrTiPCl2
1.0
4.842 0.000 0.000
0.000 4.842 0.000
0.000 0.000 4.943
Sr Ti P Cl
1 1 1 2
Direct
0.000 0.000 0.000
0.500 0.500 0.500
0.500 0.500 0.000
0.000 0.500 0.500
0.500 0.000 0.500
```

Of them, B) has the highest stability.

A) DFT (PBE) results for SrVP2Cl after structural relaxation.

Its space group is P4/mmm (123).

```
SrVP2Cl
1.0
4.579 0.000 0.000
0.000 4.579 0.000
0.000 0.000 5.168
Sr V P Cl
1 1 2 1
Direct
0.000 0.000 0.000
0.500 0.500 0.500
0.000 0.500 0.500
0.500 0.000 0.500
0.500 0.500 0.000
```

B) DFT (PBE) results for SrVP2Cl after structural relaxation.

Its space group is P4/mmm (123).

```
SrVP2Cl
1.0
5.473 0.000 0.000
0.000 5.473 0.000
0.000 0.000 5.267
Sr V P Cl
1 1 2 1
Direct
0.000 0.000 0.000
0.500 0.500 0.500
0.000 0.500 0.000
0.500 0.000 0.000
0.000 0.000 0.500
```

Of them, A) has the highest stability.

A) DFT (PBE) results for SrYPCl2 after structural relaxation.

Its space group is P4/mmm (123).

```
SrYPCl2
1.0
5.162 0.000 0.000
0.000 5.162 0.000
0.000 0.000 6.146
Sr Y P Cl
1 1 1 2
Direct
0.000 0.000 0.000
0.500 0.500 0.500
0.000 0.000 0.500
0.000 0.500 0.000
0.500 0.000 0.000
```

B) DFT (PBE) results for SrYPCl2 after structural relaxation.

Its space group is P4/mmm (123).

```
SrYPCl2
1.0
5.185 0.000 0.000
0.000 5.185 0.000
0.000 0.000 5.534
Sr Y P Cl
1 1 1 2
Direct
0.000 0.000 0.000
0.500 0.500 0.500
0.500 0.500 0.000
0.000 0.500 0.500
0.500 0.000 0.500
```

Of them, B) has the highest stability.